{
  "formula": "CrBiB3",
  "functional": "SCAN",
  "state": "PBEsol geometry",
  "energy_ev_per_fu": -105.690,
  "relative_energy_ev_per_atom": 1.477,
  "vol_a3_per_atom": 19.7,
  "crystal_system": "cubic",
  "lattice_angstrom": [[4.617, 0.000, 0.000], [0.000, 4.617, 0.000], [0.000, 0.000, 4.617]],
  "species": ["Cr", "Bi", "B", "B", "B"],
  "frac_coords": [[0.000, 0.000, 0.000], [0.500, 0.500, 0.500], [0.000, 0.500, 0.500], [0.500, 0.000, 0.500], [0.500, 0.500, 0.000]]
}